Entry 1:
YAgF3: optimized geometry, PBE.

Computed properties:
Calculated density (kg/m³): 5576
Calculated volume (Å³ per cell): 302
Excess energy over the best structure of this formula in the dataset (kJ/mol of atoms): 0.93
Symmetry: Pnma (62)

Lattice parameters (Å, degrees): 5.7449 8.7501 6.0135 90.00 90.00 90.00
With the nearest neighbours (Å) after each atom.
Sites, in units of the cell vectors:
F (0.8352, 0.5265, 0.3352)  2 Y 2.18-2.24
F (0.1648, 0.4735, 0.6648)  2 Y 2.18-2.24
F (0.1648, 0.0265, 0.6648)  2 Y 2.18-2.24
F (0.8352, 0.9735, 0.3352)  2 Y 2.18-2.24
F (0.5207, 0.2500, 0.5853)  2 Y 2.25
F (0.3352, 0.5265, 0.1648)  2 Y 2.18-2.24
F (0.4793, 0.7500, 0.4147)  2 Y 2.25
F (0.6648, 0.4735, 0.8352)  2 Y 2.18-2.24
F (0.6648, 0.0265, 0.8352)  2 Y 2.18-2.24
F (0.0207, 0.2500, 0.9147)  2 Y 2.25
F (0.9793, 0.7500, 0.0853)  2 Y 2.25
F (0.3352, 0.9735, 0.1648)  2 Y 2.18-2.24
Ag (0.5369, 0.2500, 0.1148)  5 F 2.68-2.83
Ag (0.0369, 0.2500, 0.3852)  5 F 2.68-2.83
Ag (0.9631, 0.7500, 0.6148)  5 F 2.68-2.83
Ag (0.4631, 0.7500, 0.8852)  5 F 2.68-2.83
Y (0.5000, 0.0000, 0.5000)  6 F 2.18-2.25
Y (0.0000, 0.5000, 0.0000)  6 F 2.18-2.25
Y (0.0000, 0.0000, 0.0000)  6 F 2.18-2.25
Y (0.5000, 0.5000, 0.5000)  6 F 2.18-2.25

Entry 2:
Pm8Ir5Pd: optimized geometry, PBE.

Computed properties:
Formation enthalpy at 0 K (kJ/mol of formula units): -901
Calculated density (kg/m³): 10690
Calculated volume (Å³ per cell): 346
Symmetry: I-4 (82)

Lattice parameters (Å, degrees): 7.6603 7.6603 7.6603 109.37 109.37 109.66
With the nearest neighbours (Å) after each atom.
Sites, in units of the cell vectors:
Pm (0.6225, 0.8699, 0.6274)  3 Ir 2.85-2.88
Pm (0.1301, 0.7574, 0.7526)  3 Ir 2.85-2.88
Pm (0.6230, 0.8696, 0.1188)  2 Ir 2.85-2.86, 1 Pd 2.92
Pm (0.7508, 0.5042, 0.8812)  2 Ir 2.85-2.86, 1 Pd 2.92
Pm (0.0048, 0.3775, 0.2474)  3 Ir 2.85-2.88
Pm (0.4958, 0.3770, 0.2466)  2 Ir 2.85-2.86, 1 Pd 2.92
Pm (0.2426, 0.9952, 0.3726)  3 Ir 2.85-2.88
Pm (0.1304, 0.2492, 0.7534)  2 Ir 2.85-2.86, 1 Pd 2.92
Ir (0.3745, 0.4950, 0.6237)  4 Pm 2.85-2.88
Ir (0.5050, 0.1287, 0.8795)  4 Pm 2.85-2.88
Ir (0.0000, 0.0000, 0.0000)  4 Pm 2.86
Ir (0.8713, 0.7508, 0.3763)  4 Pm 2.85-2.88
Ir (0.2492, 0.6255, 0.1205)  4 Pm 2.85-2.88
Pd (0.7500, 0.2500, 0.5000)  4 Pm 2.92

Entry 3:
CdAsPd5: optimized geometry, PBE.

Computed properties:
Calculated density (kg/m³): 10274
Calculated volume (Å³ per cell): 116
Total energy (eV per atom): -4.88
Symmetry: P4/mmm (123)

Lattice parameters (Å, degrees): 4.0513 4.0513 7.0844 90.00 90.00 90.00
With the nearest neighbours (Å) after each atom.
Sites, in units of the cell vectors:
Cd (0.5000, 0.5000, 0.0000)  12 Pd 2.86-2.89
Pd (0.0000, 0.5000, 0.7096)  2 As 2.51
Pd (0.5000, 0.0000, 0.2904)  2 As 2.51
Pd (0.0000, 0.5000, 0.2904)  2 As 2.51
Pd (0.5000, 0.0000, 0.7096)  2 As 2.51
Pd (0.0000, 0.0000, 0.0000)  4 Cd 2.86, 8 Pd 2.89
As (0.0000, 0.0000, 0.5000)  8 Pd 2.51